Entry 1:
# MnWAu, optimized geometry, DFT PBE-GGA
data_MnWAu
_chemical_formula_sum 'Mn2 W2 Au2'
_space_group_name_H-M_alt 'I 4 m m'
_space_group_IT_number 107
_space_group_name_Hall 'I 4 -2'
_cell_length_a 3.202
_cell_length_b 3.202
_cell_length_c 9.002
_cell_angle_alpha 90.00
_cell_angle_beta 90.00
_cell_angle_gamma 90.00
loop_
_atom_site_label
_atom_site_type_symbol
_atom_site_fract_x
_atom_site_fract_y
_atom_site_fract_z
Mn1 Mn 0.000 0.000 0.000
W1 W 0.000 0.000 0.372
Au1 Au 0.000 0.000 0.681
# **Distance to the lowest polymorph of the same formula**: 0.042 eV per atom
# **Formation enthalpy at 0 K**: 317 meV per atom
# **DOS(E_F)**: 0.81 states/eV per atom

=====

Entry 2:
# LaYCuPd, optimized geometry, DFT PBE-GGA
data_LaYCuPd
_chemical_formula_sum 'La2 Y2 Cu2 Pd2'
_space_group_name_H-M_alt 'A m m 2'
_space_group_IT_number 38
_space_group_name_Hall 'A 2 -2'
_cell_length_a 4.601
_cell_length_b 3.883
_cell_length_c 10.774
_cell_angle_alpha 90.00
_cell_angle_beta 90.00
_cell_angle_gamma 90.00
loop_
_atom_site_label
_atom_site_type_symbol
_atom_site_fract_x
_atom_site_fract_y
_atom_site_fract_z
La1 La 0.000 0.000 0.000
Y1 Y 0.500 0.000 0.276
Cu1 Cu 0.000 0.000 0.718
Pd1 Pd 0.500 0.000 0.566
# **Formation enthalpy at 0 K**: -533 meV per atom
# **DOS(E_F)**: 0.90 states/eV per atom

=====

Entry 3:
# TaAlCd2, optimized geometry, DFT PBE-GGA
data_TaAlCd2
_chemical_formula_sum 'Ta2 Al2 Cd4'
_space_group_name_H-M_alt 'C 1 2/m 1'
_space_group_IT_number 12
_space_group_name_Hall '-C 2y'
_cell_length_a 10.808
_cell_length_b 2.994
_cell_length_c 4.950
_cell_angle_alpha 90.00
_cell_angle_beta 106.96
_cell_angle_gamma 90.00
loop_
_atom_site_label
_atom_site_type_symbol
_atom_site_fract_x
_atom_site_fract_y
_atom_site_fract_z
Ta1 Ta 0.000 0.000 0.000
Al1 Al 0.000 0.500 0.500
Cd1 Cd 0.248 0.000 0.750
# **Formation enthalpy at 0 K**: 205 meV per atom
# **DOS(E_F)**: 0.68 states/eV per atom

=====

Entry 4:
# Ba3Ag2Pb, optimized geometry, DFT PBE-GGA
data_Ba3Ag2Pb
_chemical_formula_sum 'Ba6 Ag4 Pb2'
_space_group_name_H-M_alt 'C m m m'
_space_group_IT_number 65
_space_group_name_Hall '-C 2 2'
_cell_length_a 6.029
_cell_length_b 17.930
_cell_length_c 4.114
_cell_angle_alpha 90.00
_cell_angle_beta 90.00
_cell_angle_gamma 90.00
loop_
_atom_site_label
_atom_site_type_symbol
_atom_site_fract_x
_atom_site_fract_y
_atom_site_fract_z
Ba1 Ba 0.000 0.000 0.000
Ba2 Ba 0.000 0.331 0.000
Ag1 Ag 0.000 0.166 0.500
Pb1 Pb 0.000 0.500 0.500
# **Formation enthalpy at 0 K**: -349 meV per atom
# **DOS(E_F)**: 0.51 states/eV per atom

=====

Entry 5:
# TmBi3S6, optimized geometry, DFT PBE-GGA
data_TmBi3S6
_chemical_formula_sum 'Tm2 Bi6 S12'
_space_group_name_H-M_alt 'P 1 21/m 1'
_space_group_IT_number 11
_space_group_name_Hall '-P 2yb'
_cell_length_a 11.592
_cell_length_b 3.960
_cell_length_c 11.612
_cell_angle_alpha 90.00
_cell_angle_beta 105.50
_cell_angle_gamma 90.00
loop_
_atom_site_label
_atom_site_type_symbol
_atom_site_fract_x
_atom_site_fract_y
_atom_site_fract_z
Tm1 Tm 0.184 0.250 0.036
Bi1 Bi 0.016 0.750 0.300
Bi2 Bi 0.334 0.250 0.424
Bi3 Bi 0.409 0.750 0.847
S1 S 0.040 0.750 0.901
S2 S 0.115 0.250 0.461
S3 S 0.214 0.750 0.224
S4 S 0.250 0.250 0.814
S5 S 0.380 0.750 0.066
S6 S 0.405 0.750 0.583
# **Distance to the lowest polymorph of the same formula**: 0.000 eV per atom
# **Formation energy from raw total energies**: -0.7592 eV/atom

=====

Entry 6:
# Pr5Nd4Dy2, optimized geometry, DFT PBE-GGA
data_Pr5Nd4Dy2
_chemical_formula_sum 'Pr10 Nd8 Dy4'
_space_group_name_H-M_alt 'C 1 2/m 1'
_space_group_IT_number 12
_space_group_name_Hall '-C 2y'
_cell_length_a 24.521
_cell_length_b 3.535
_cell_length_c 9.013
_cell_angle_alpha 90.00
_cell_angle_beta 96.91
_cell_angle_gamma 90.00
loop_
_atom_site_label
_atom_site_type_symbol
_atom_site_fract_x
_atom_site_fract_y
_atom_site_fract_z
Pr1 Pr 0.000 0.000 0.000
Pr2 Pr 0.140 0.500 0.114
Pr3 Pr 0.230 0.500 0.822
Nd1 Nd 0.045 0.500 0.362
Nd2 Nd 0.177 0.000 0.472
Dy1 Dy 0.091 0.500 0.732
# **Distance to the lowest polymorph of the same formula**: 0.000 eV per atom
# **Formation enthalpy at 0 K**: 134 meV per atom
# **DOS(E_F)**: 1.64 states/eV per atom

=====

Entry 7:
# Pr5NdHo2Er, optimized geometry, DFT PBE-GGA
data_Pr5NdHo2Er
_chemical_formula_sum 'Pr20 Nd4 Ho8 Er4'
_space_group_name_H-M_alt 'C m c 21'
_space_group_IT_number 36
_space_group_name_Hall 'C 2c -2'
_cell_length_a 5.680
_cell_length_b 20.606
_cell_length_c 10.818
_cell_angle_alpha 90.00
_cell_angle_beta 90.00
_cell_angle_gamma 90.00
loop_
_atom_site_label
_atom_site_type_symbol
_atom_site_fract_x
_atom_site_fract_y
_atom_site_fract_z
Pr1 Pr 0.000 0.015 0.000
Pr2 Pr 0.000 0.281 0.290
Pr3 Pr 0.000 0.295 0.683
Pr4 Pr 0.000 0.388 0.004
Pr5 Pr 0.000 0.482 0.725
Nd1 Nd 0.000 0.201 0.990
Ho1 Ho 0.000 0.111 0.720
Ho2 Ho 0.000 0.116 0.292
Er1 Er 0.000 0.408 0.443
# **Formation enthalpy at 0 K**: 142 meV per atom
# **DOS(E_F)**: 1.57 states/eV per atom

=====

Entry 8:
# AcPm3Pr2Y6, optimized geometry, DFT PBE-GGA
data_AcPm3Pr2Y6
_chemical_formula_sum 'Ac2 Pm6 Pr4 Y12'
_space_group_name_H-M_alt 'C 1 2/m 1'
_space_group_IT_number 12
_space_group_name_Hall '-C 2y'
_cell_length_a 6.344
_cell_length_b 10.985
_cell_length_c 11.956
_cell_angle_alpha 90.00
_cell_angle_beta 100.15
_cell_angle_gamma 90.00
loop_
_atom_site_label
_atom_site_type_symbol
_atom_site_fract_x
_atom_site_fract_y
_atom_site_fract_z
Ac1 Ac 0.000 0.000 0.000
Pm1 Pm 0.000 0.167 0.500
Pm2 Pm 0.000 0.500 0.500
Pr1 Pr 0.000 0.333 0.000
Y1 Y 0.247 0.332 0.746
Y2 Y 0.250 0.000 0.746
# **Formation enthalpy at 0 K**: 17 meV per atom
# **DOS(E_F)**: 1.17 states/eV per atom

=====

Entry 9:
# Zr2ZnAsRu, optimized geometry, DFT PBE-GGA
data_Zr2ZnAsRu
_chemical_formula_sum 'Zr2 Zn1 As1 Ru1'
_space_group_name_H-M_alt 'P 4/m m m'
_space_group_IT_number 123
_space_group_name_Hall '-P 4 2'
_cell_length_a 4.997
_cell_length_b 4.997
_cell_length_c 4.350
_cell_angle_alpha 90.00
_cell_angle_beta 90.00
_cell_angle_gamma 90.00
loop_
_atom_site_label
_atom_site_type_symbol
_atom_site_fract_x
_atom_site_fract_y
_atom_site_fract_z
Zr1 Zr 0.000 0.500 0.000
Zn1 Zn 0.000 0.000 0.500
As1 As 0.000 0.000 0.000
Ru1 Ru 0.500 0.500 0.500
# **Distance to the lowest polymorph of the same formula**: 0.000 eV per atom
# **Formation enthalpy at 0 K**: 484 meV per atom
# **DOS(E_F)**: 1.17 states/eV per atom

=====

Entry 10:
# MnNiBi2, optimized geometry, DFT PBE-GGA
data_MnNiBi2
_chemical_formula_sum 'Mn4 Ni4 Bi8'
_space_group_name_H-M_alt 'F m -3 m'
_space_group_IT_number 225
_space_group_name_Hall '-F 4 2 3'
_cell_length_a 6.929
_cell_length_b 6.929
_cell_length_c 6.929
_cell_angle_alpha 90.00
_cell_angle_beta 90.00
_cell_angle_gamma 90.00
loop_
_atom_site_label
_atom_site_type_symbol
_atom_site_fract_x
_atom_site_fract_y
_atom_site_fract_z
Mn1 Mn 0.000 0.000 0.000
Ni1 Ni 0.000 0.000 0.500
Bi1 Bi 0.250 0.250 0.250
# **Distance to the lowest polymorph of the same formula**: 0.000 eV per atom
# **Formation enthalpy at 0 K**: 379 meV per atom
# **DOS(E_F)**: 1.11 states/eV per atom

=====

Entry 11:
# BeTe2Cl, optimized geometry, DFT PBE-GGA
data_BeTe2Cl
_chemical_formula_sum 'Be1 Te2 Cl1'
_space_group_name_H-M_alt 'P 1 2/m 1'
_space_group_IT_number 10
_space_group_name_Hall '-P 2y'
_cell_length_a 4.840
_cell_length_b 3.968
_cell_length_c 5.493
_cell_angle_alpha 90.00
_cell_angle_beta 105.78
_cell_angle_gamma 90.00
loop_
_atom_site_label
_atom_site_type_symbol
_atom_site_fract_x
_atom_site_fract_y
_atom_site_fract_z
Be1 Be 0.000 0.000 0.000
Te1 Te 0.154 0.500 0.324
Cl1 Cl 0.500 0.000 0.000
# **Distance to the lowest polymorph of the same formula**: 0.154 eV per atom
# **DOS(E_F)**: 0.59 states/eV per atom
# **Formation energy from raw total energies**: -0.1998 eV/atom

=====

Entry 12:
# Pa3Te8Pb, optimized geometry, DFT PBE-GGA
data_Pa3Te8Pb
_chemical_formula_sum 'Pa6 Te16 Pb2'
_space_group_name_H-M_alt 'P 63 m c'
_space_group_IT_number 186
_space_group_name_Hall 'P 6c -2c'
_cell_length_a 8.8521
_cell_length_b 8.8521
_cell_length_c 14.5068
_cell_angle_alpha 90.00
_cell_angle_beta 90.00
_cell_angle_gamma 120.00
loop_
_atom_site_label
_atom_site_type_symbol
_atom_site_fract_x
_atom_site_fract_y
_atom_site_fract_z
Pa1 Pa 0.1663 0.3326 0.0000
Te1 Te 0.0000 0.0000 0.1196
Te2 Te 0.0011 0.5005 0.1148
Te3 Te 0.1583 0.3166 0.3868
Te4 Te 0.3333 0.6667 0.8816
Pb1 Pb 0.3333 0.6667 0.2398
# **DOS(E_F)**: 0.73 states/eV per atom
# **Formation energy from raw total energies**: -0.6911 eV/atom

=====

no.,theoretical density (g cm⁻³)
1,15.7
2,6.9
3,9.4
4,6.2
5,6.4
6,6.9
7,7.1
8,6.0
9,6.5
10,10.6
11,4.9
12,6.5